No. 1
# GGA-PBEsol Cr3Co, optimized geometry
data_Cr3Co
_chemical_formula_sum 'Cr3 Co1'
_cell_length_a 3.945
_cell_length_b 3.945
_cell_length_c 2.850
_cell_angle_alpha 90.00
_cell_angle_beta 90.00
_cell_angle_gamma 90.00
_symmetry_space_group_name_H-M 'P 4/m m m'
_symmetry_Int_Tables_number 123
_symmetry_space_group_name_Hall '-P 4 2'
loop_
_atom_site_label
_atom_site_fract_x
_atom_site_fract_y
_atom_site_fract_z
_atom_site_occupancy
Cr1 0.000 0.000 0.000 1
Cr2 0.000 0.500 0.500 1
Co1 0.500 0.500 0.000 1
# * formation enthalpy at 0 K: 0.104 eV per atom

***

No. 2
# GGA-PBEsol CuTeCl, optimized geometry
data_CuTeCl
_chemical_formula_sum 'Cu4 Te4 Cl4'
_cell_length_a 6.567
_cell_length_b 6.567
_cell_length_c 6.567
_cell_angle_alpha 90.00
_cell_angle_beta 90.00
_cell_angle_gamma 90.00
_symmetry_space_group_name_H-M 'F -4 3 m'
_symmetry_Int_Tables_number 216
_symmetry_space_group_name_Hall 'F -4 2 3'
loop_
_atom_site_label
_atom_site_fract_x
_atom_site_fract_y
_atom_site_fract_z
_atom_site_occupancy
Cu1 0.000 0.000 0.000 1
Te1 0.250 0.250 0.750 1
Cl1 0.000 0.000 0.500 1
# * ΔE_f (raw): 0.500 eV per atom

***

No. 3
# GGA-PBEsol LuTa5Ag2O15, optimized geometry
data_LuTa5Ag2O15
_chemical_formula_sum 'Lu2 Ta10 Ag4 O30'
_cell_length_a 12.429
_cell_length_b 12.429
_cell_length_c 3.879
_cell_angle_alpha 90.00
_cell_angle_beta 90.00
_cell_angle_gamma 90.00
_symmetry_space_group_name_H-M 'P 4/m b m'
_symmetry_Int_Tables_number 127
_symmetry_space_group_name_Hall '-P 4 2ab'
loop_
_atom_site_label
_atom_site_fract_x
_atom_site_fract_y
_atom_site_fract_z
_atom_site_occupancy
Lu1 0.000 0.000 0.000 1
Ta1 0.000 0.500 0.500 1
Ta2 0.081 0.209 0.500 1
Ag1 0.157 0.657 0.000 1
O1 0.000 0.500 0.000 1
O2 0.002 0.660 0.500 1
O3 0.057 0.871 0.500 1
O4 0.078 0.184 0.000 1
O5 0.226 0.274 0.500 1
# * ΔE_f (raw): -2.510 eV per atom

***

No. 4
# GGA-PBEsol BaTe2Br, optimized geometry
data_BaTe2Br
_chemical_formula_sum 'Ba1 Te2 Br1'
_cell_length_a 4.472
_cell_length_b 4.472
_cell_length_c 6.320
_cell_angle_alpha 90.00
_cell_angle_beta 90.00
_cell_angle_gamma 90.00
_symmetry_space_group_name_H-M 'P 4/m m m'
_symmetry_Int_Tables_number 123
_symmetry_space_group_name_Hall '-P 4 2'
loop_
_atom_site_label
_atom_site_fract_x
_atom_site_fract_y
_atom_site_fract_z
_atom_site_occupancy
Ba1 0.000 0.000 0.000 1
Te1 0.000 0.500 0.500 1
Br1 0.500 0.500 0.000 1
# * ΔE_f (raw): -1.227 eV per atom
# * offset from the most stable computed form: 4 meV per atom

***

Across the entries above, Fermi-level density of states takes the values 0.802 1.572 0.000 0.156 states/eV/atom, respectively.